# 1
# TlGeNO2

TlGeNO2 after structural relaxation (PBEsol, the Alexandria database).

```
data_TlGeNO2
_chemical_formula_sum 'Tl1 Ge1 N1 O2'
_symmetry_space_group_name_H-M 'P 1'
_symmetry_Int_Tables_number 1
_cell_length_a 4.181
_cell_length_b 4.198
_cell_length_c 4.198
_cell_angle_alpha 90.00
_cell_angle_beta 90.00
_cell_angle_gamma 90.00
loop_
_symmetry_equiv_pos_as_xyz
'x,y,z'
loop_
_atom_site_label
_atom_site_type_symbol
_atom_site_fract_x
_atom_site_fract_y
_atom_site_fract_z
Ge1 Ge 0.500 0.500 0.500
O1 O 0.000 0.000 0.500
O2 O 0.000 0.500 0.000
Tl1 Tl 0.000 0.000 0.000
N1 N 0.500 0.000 0.000
```

For the raw formation energy, the calculation gives 0.841 eV/atom. For the spin magnetization, the calculation gives 1.1 Bohr magnetons per cell.



# 2
# ZnGeN2O

ZnGeN2O after structural relaxation (PBEsol, the Alexandria database).

```
data_ZnGeN2O
_chemical_formula_sum 'Zn1 Ge1 N2 O1'
_symmetry_space_group_name_H-M 'P 1'
_symmetry_Int_Tables_number 1
_cell_length_a 3.853
_cell_length_b 3.853
_cell_length_c 3.952
_cell_angle_alpha 90.00
_cell_angle_beta 90.00
_cell_angle_gamma 90.00
loop_
_symmetry_equiv_pos_as_xyz
'x,y,z'
loop_
_atom_site_label
_atom_site_type_symbol
_atom_site_fract_x
_atom_site_fract_y
_atom_site_fract_z
O1 O 0.000 0.000 0.500
Zn1 Zn 0.000 0.000 0.000
Ge1 Ge 0.500 0.500 0.500
N1 N 0.000 0.500 0.000
N2 N 0.500 0.000 0.000
```

For the raw formation energy, the calculation gives 1.143 eV/atom. For the spin magnetization, the calculation gives 3.0 Bohr magnetons per cell.



# 3
# Ge3OsN

Ge3OsN after structural relaxation (PBEsol, the Alexandria database).

```
data_Ge3OsN
_chemical_formula_sum 'Ge3 Os1 N1'
_symmetry_space_group_name_H-M 'P 1'
_symmetry_Int_Tables_number 1
_cell_length_a 4.678
_cell_length_b 4.678
_cell_length_c 4.678
_cell_angle_alpha 90.00
_cell_angle_beta 90.00
_cell_angle_gamma 90.00
loop_
_symmetry_equiv_pos_as_xyz
'x,y,z'
loop_
_atom_site_label
_atom_site_type_symbol
_atom_site_fract_x
_atom_site_fract_y
_atom_site_fract_z
Os1 Os 0.000 0.000 0.000
Ge1 Ge 0.000 0.500 0.000
Ge2 Ge 0.500 0.000 0.000
Ge3 Ge 0.000 0.000 0.500
N1 N 0.500 0.500 0.500
```

For the raw formation energy, the calculation gives 1.158 eV/atom. For the spin magnetization, the calculation gives 1.0 Bohr magnetons per cell.



# 4
# Ge2SbOsN

Ge2SbOsN after structural relaxation (PBEsol, the Alexandria database).

```
data_Ge2SbOsN
_chemical_formula_sum 'Ge2 Sb1 Os1 N1'
_symmetry_space_group_name_H-M 'P 1'
_symmetry_Int_Tables_number 1
_cell_length_a 4.902
_cell_length_b 5.337
_cell_length_c 5.337
_cell_angle_alpha 90.00
_cell_angle_beta 90.00
_cell_angle_gamma 90.00
loop_
_symmetry_equiv_pos_as_xyz
'x,y,z'
loop_
_atom_site_label
_atom_site_type_symbol
_atom_site_fract_x
_atom_site_fract_y
_atom_site_fract_z
Ge1 Ge 0.000 0.500 0.000
Ge2 Ge 0.000 0.000 0.500
Sb1 Sb 0.000 0.000 0.000
N1 N 0.500 0.500 0.500
Os1 Os 0.500 0.000 0.000
```

For the raw formation energy, the calculation gives 2.634 eV/atom. For the spin magnetization, the calculation gives 3.9 Bohr magnetons per cell.



# 5
# Ge2PN

Ge2PN after structural relaxation (PBEsol, the Alexandria database).

```
data_Ge2PN
_chemical_formula_sum 'Ge2 P1 N1'
_symmetry_space_group_name_H-M 'P 1'
_symmetry_Int_Tables_number 1
_cell_length_a 4.243
_cell_length_b 4.243
_cell_length_c 4.243
_cell_angle_alpha 60.00
_cell_angle_beta 60.00
_cell_angle_gamma 60.00
loop_
_symmetry_equiv_pos_as_xyz
'x,y,z'
loop_
_atom_site_label
_atom_site_type_symbol
_atom_site_fract_x
_atom_site_fract_y
_atom_site_fract_z
P1 P 0.500 0.500 0.500
N1 N 0.000 0.000 0.000
Ge1 Ge 0.750 0.750 0.750
Ge2 Ge 0.250 0.250 0.250
```

For the raw formation energy, the calculation gives 0.939 eV/atom. For the spin magnetization, the calculation gives 0.0 Bohr magnetons per cell.



# 6
# GePS2N

GePS2N after structural relaxation (PBEsol, the Alexandria database).

```
data_GePS2N
_chemical_formula_sum 'Ge1 P1 S2 N1'
_symmetry_space_group_name_H-M 'P 1'
_symmetry_Int_Tables_number 1
_cell_length_a 3.608
_cell_length_b 4.543
_cell_length_c 4.543
_cell_angle_alpha 90.00
_cell_angle_beta 90.00
_cell_angle_gamma 90.00
loop_
_symmetry_equiv_pos_as_xyz
'x,y,z'
loop_
_atom_site_label
_atom_site_type_symbol
_atom_site_fract_x
_atom_site_fract_y
_atom_site_fract_z
Ge1 Ge 0.500 0.500 0.500
P1 P 0.500 0.000 0.000
S1 S 0.000 0.500 0.000
S2 S 0.000 0.000 0.500
N1 N 0.000 0.000 0.000
```

The distance to the lowest polymorph of the same formula comes out at 501.6 meV per atom. For the raw formation energy, the calculation gives 0.826 eV/atom. For the spin magnetization, the calculation gives 0.0 Bohr magnetons per cell.



V (computed, Å³/atom): 14.74 11.73 20.48 27.93 13.51 14.90